Version a
KCr2Fe: relaxed, GGA-PBE.

Properties
**Calculated density**: 3.95 g/cm3
**Magnetic moment**: 3.5 μB per cell

abc: 4.046 4.046 7.658
angles: 94.30 94.30 41.96
Fractional coordinates of all 4 atoms:
K 0.000 0.000 0.000
Cr 0.226 0.226 0.628
Cr 0.497 0.497 0.466
Fe 0.769 0.769 0.348


Version b
KCr2Fe: relaxed, GGA-PBE.

Properties
**Calculated density**: 3.78 g/cm3
**Magnetic moment**: 12.0 μB per cell

abc: 5.395 5.395 5.395
angles: 131.05 131.05 71.73
Fractional coordinates of all 4 atoms:
K 0.000 0.000 0.000
Cr 0.250 0.750 0.500
Cr 0.500 0.500 0.000
Fe 0.750 0.250 0.500


Most stable of them? version a.


Version a
SiTeRh2: relaxed, GGA-PBE.

Properties
**Calculated density**: 9.31 g/cm3
**Magnetic moment**: 0.0 μB per cell

abc: 4.501 4.501 4.501
angles: 60.00 60.00 60.00
Fractional coordinates of all 4 atoms:
Si 0.000 0.000 0.000
Te 0.500 0.500 0.500
Rh 0.250 0.250 0.250
Rh 0.750 0.750 0.750


Version b
SiTeRh2: relaxed, GGA-PBE.

Properties
**Calculated density**: 8.70 g/cm3
**Magnetic moment**: 0.0 μB per cell

abc: 4.827 4.827 4.827
angles: 134.84 116.42 81.37
Fractional coordinates of all 4 atoms:
Si 0.000 0.000 0.000
Te 0.500 0.500 0.000
Rh 0.196 0.696 0.500
Rh 0.804 0.304 0.500


Most stable of them? version b.


Version a
BaTaIn2: relaxed, GGA-PBE.

Properties
**Calculated density**: 8.30 g/cm3
**Magnetic moment**: 0.9 μB per cell

abc: 3.737 3.737 7.845
angles: 90.00 90.00 90.00
Fractional coordinates of all 4 atoms:
Ba 0.000 0.000 0.000
Ta 0.000 0.000 0.500
In 0.500 0.500 0.313
In 0.500 0.500 0.687


Version b
BaTaIn2: relaxed, GGA-PBE.

Properties
**Calculated density**: 8.33 g/cm3
**Magnetic moment**: 1.7 μB per cell

abc: 5.625 5.625 5.625
angles: 127.40 127.14 77.81
Fractional coordinates of all 4 atoms:
Ba 0.000 0.000 0.000
Ta 0.500 0.500 0.000
In 0.251 0.751 0.500
In 0.749 0.249 0.500


Most stable of them? version a.


Version a
ZrZn2Mo: relaxed, GGA-PBE.

Properties
**Calculated density**: 7.12 g/cm3
**Magnetic moment**: 0.0 μB per cell

abc: 10.315 10.315 10.315
angles: 158.42 158.42 30.70
Fractional coordinates of all 8 atoms:
Zr 0.000 0.000 0.000
Zr 0.750 0.250 0.500
Zn 0.158 0.625 0.033
Zn 0.375 0.408 0.533
Zn 0.592 0.125 0.967
Zn 0.875 0.842 0.467
Mo 0.250 0.750 0.500
Mo 0.500 0.500 0.000


Version b
ZrZn2Mo: relaxed, GGA-PBE.

Properties
**Calculated density**: 7.87 g/cm3
**Magnetic moment**: 0.0 μB per cell

abc: 5.191 5.191 5.191
angles: 141.94 127.89 66.32
Fractional coordinates of all 4 atoms:
Zr 0.000 0.000 0.000
Zn 0.511 0.511 0.000
Zn 0.732 0.232 0.500
Mo 0.259 0.759 0.500


Most stable of them? version b.


Version a
Zr2Pd2Au: relaxed, GGA-PBE.

Properties
**Calculated density**: 10.52 g/cm3
**Magnetic moment**: 0.0 μB per cell

abc: 5.040 4.926 7.917
angles: 90.00 107.98 90.00
Fractional coordinates of all 10 atoms:
Zr 0.130 0.250 0.291
Zr 0.347 0.250 0.719
Zr 0.653 0.750 0.281
Zr 0.870 0.750 0.709
Pd 0.305 0.750 0.499
Pd 0.466 0.750 0.891
Pd 0.534 0.250 0.109
Pd 0.695 0.250 0.501
Au 0.070 0.750 0.099
Au 0.930 0.250 0.901


Version b
Zr2Pd2Au: relaxed, GGA-PBE.

Properties
**Calculated density**: 9.87 g/cm3
**Magnetic moment**: 0.0 μB per cell

abc: 7.669 7.669 3.387
angles: 90.00 90.00 90.00
Fractional coordinates of all 10 atoms:
Zr 0.163 0.337 0.000
Zr 0.337 0.837 0.000
Zr 0.663 0.163 0.000
Zr 0.837 0.663 0.000
Pd 0.130 0.630 0.500
Pd 0.370 0.130 0.500
Pd 0.630 0.870 0.500
Pd 0.870 0.370 0.500
Au 0.000 0.000 0.000
Au 0.500 0.500 0.000


Most stable of them? version a.


Version a
HfIn2Pt2: relaxed, GGA-PBE.

Properties
**Calculated density**: 13.01 g/cm3
**Magnetic moment**: 0.0 μB per cell

abc: 6.816 6.816 6.816
angles: 145.34 145.34 49.82
Fractional coordinates of all 5 atoms:
Hf 0.000 0.000 0.000
In 0.391 0.391 0.000
In 0.609 0.609 0.000
Pt 0.250 0.750 0.500
Pt 0.750 0.250 0.500


Version b
HfIn2Pt2: relaxed, GGA-PBE.

Properties
**Calculated density**: 13.23 g/cm3
**Magnetic moment**: 0.0 μB per cell

abc: 7.068 7.068 4.010
angles: 90.00 90.00 90.00
Fractional coordinates of all 10 atoms:
Hf 0.000 0.000 0.000
Hf 0.500 0.500 0.000
In 0.167 0.333 0.500
In 0.333 0.833 0.500
In 0.667 0.167 0.500
In 0.833 0.667 0.500
Pt 0.138 0.638 0.000
Pt 0.362 0.138 0.000
Pt 0.638 0.862 0.000
Pt 0.862 0.362 0.000


Most stable of them? version b.